Entry 1:
Below is a relaxed PrHoNi2Ge2 crystal, with properties calculated at the PBE-GGA level.

DFT formation energy: -0.732 eV/atom
Total moment: 0.0000 μB/atom
Electronic total energy: -5.758 eV/atom

Geometry as POSCAR:
```
PrHoNi2Ge2
1.0
4.265 0.000 0.000
-2.133 3.694 0.000
0.000 0.000 7.315
Pr Ho Ni Ge
1 1 2 2
Cartesian
0.000 0.000 0.000
0.000 0.000 3.657
0.000 2.463 5.183
2.133 1.231 2.131
0.000 2.463 1.997
2.133 1.231 5.318
```


Entry 2:
Below is a relaxed Ho2NiGePt6 crystal, with properties calculated at the PBE-GGA level.

DFT formation energy: -0.729 eV/atom
Total moment: 0.0000 μB/atom
Electronic total energy: -6.309 eV/atom

Geometry as POSCAR:
```
Ho2NiGePt6
1.0
5.411 0.000 0.000
2.701 5.734 0.000
2.698 0.739 5.853
Ho Ni Ge Pt
2 1 1 6
Cartesian
1.353 1.542 1.537
9.457 4.931 4.316
4.054 0.370 2.927
4.056 2.867 0.000
2.715 2.286 4.062
6.753 5.975 5.367
5.388 2.290 4.053
5.422 4.183 1.800
4.057 0.498 0.486
8.095 4.187 1.791
```


Entry 3:
Below is a relaxed Ho2NiGe4Pt3 crystal, with properties calculated at the PBE-GGA level.

DFT formation energy: -0.816 eV/atom
Total moment: 0.0000 μB/atom
Electronic total energy: -5.969 eV/atom

Geometry as POSCAR:
```
Ho2NiGe4Pt3
1.0
4.187 0.000 0.000
0.000 4.187 0.000
0.000 0.000 10.403
Ho Ni Ge Pt
2 1 4 3
Cartesian
0.000 2.094 2.468
2.094 0.000 7.935
2.094 2.094 0.000
0.000 0.000 5.202
0.000 2.094 9.084
2.094 0.000 1.319
2.094 2.094 5.202
0.000 0.000 0.000
0.000 2.094 6.644
2.094 0.000 3.759
```


Entry 4:
Below is a relaxed Ho2Ni3Ge4Pt crystal, with properties calculated at the PBE-GGA level.

DFT formation energy: -0.735 eV/atom
Total moment: 0.0000 μB/atom
Electronic total energy: -5.836 eV/atom

Geometry as POSCAR:
```
Ho2Ni3Ge4Pt
1.0
4.111 0.000 0.000
0.000 4.111 0.000
0.000 0.000 9.816
Ho Ni Ge Pt
2 3 4 1
Cartesian
0.000 2.056 2.409
2.056 0.000 7.407
0.000 2.056 8.617
2.056 0.000 1.198
2.056 2.056 4.908
0.000 0.000 0.000
0.000 2.056 6.310
2.056 0.000 3.506
2.056 2.056 0.000
0.000 0.000 4.908
```


Entry 5:
Below is a relaxed HoPuNi2Ge2 crystal, with properties calculated at the PBE-GGA level.

DFT formation energy: -0.602 eV/atom
Total moment: 0.8007 μB/atom
Electronic total energy: -7.220 eV/atom

Geometry as POSCAR:
```
HoPuNi2Ge2
1.0
4.174 0.000 0.000
-2.087 3.615 0.000
0.000 0.000 7.372
Ho Pu Ni Ge
1 1 2 2
Cartesian
0.000 0.000 0.000
0.000 0.000 3.686
0.000 2.410 1.786
2.087 1.205 5.586
0.000 2.410 5.541
2.087 1.205 1.831
```


Entry 6:
Below is a relaxed HoNiGe2Rh2 crystal, with properties calculated at the PBE-GGA level.

DFT formation energy: -0.324 eV/atom
Total moment: 0.0000 μB/atom
Electronic total energy: -6.040 eV/atom

Geometry as POSCAR:
```
HoNiGe2Rh2
1.0
4.412 0.000 0.000
0.000 4.412 0.000
0.000 0.000 5.458
Ho Ni Ge Rh
1 1 2 2
Cartesian
0.000 0.000 0.000
0.000 0.000 2.729
0.000 2.206 2.729
2.206 0.000 2.729
2.206 2.206 1.314
2.206 2.206 4.144
```


Entry 7:
Below is a relaxed Ho2NiGe4Rh3 crystal, with properties calculated at the PBE-GGA level.

DFT formation energy: -0.764 eV/atom
Total moment: 0.0000 μB/atom
Electronic total energy: -6.310 eV/atom

Geometry as POSCAR:
```
Ho2NiGe4Rh3
1.0
4.124 0.000 0.000
0.000 4.124 0.000
0.000 0.000 10.310
Ho Ni Ge Rh
2 1 4 3
Cartesian
0.000 2.062 2.564
2.062 0.000 7.746
0.000 0.000 5.155
0.000 0.000 0.000
0.000 2.062 6.498
2.062 0.000 3.812
2.062 2.062 0.000
0.000 2.062 8.923
2.062 0.000 1.387
2.062 2.062 5.155
```


Entry 8:
Below is a relaxed HoNiGe2Rh crystal, with properties calculated at the PBE-GGA level.

DFT formation energy: -0.738 eV/atom
Total moment: 0.0003 μB/atom
Electronic total energy: -6.127 eV/atom

Geometry as POSCAR:
```
HoNiGe2Rh
1.0
-2.034 2.034 5.131
2.034 -2.034 5.131
2.034 2.034 -5.131
Ho Ni Ge Rh
1 1 2 1
Cartesian
0.000 0.000 0.000
2.034 0.000 2.566
0.000 0.000 3.887
0.000 0.000 6.375
0.000 2.034 2.566
```


Entry 9:
Below is a relaxed Ho2Ni4Ge3Ru crystal, with properties calculated at the PBE-GGA level.

DFT formation energy: -0.553 eV/atom
Total moment: 0.0917 μB/atom
Electronic total energy: -6.094 eV/atom

Geometry as POSCAR:
```
Ho2Ni4Ge3Ru
1.0
3.955 0.000 0.000
0.000 3.955 0.000
0.000 0.000 10.177
Ho Ni Ge Ru
2 4 3 1
Cartesian
0.000 1.977 2.525
1.977 0.000 7.653
0.000 0.000 0.000
0.000 1.977 6.526
1.977 0.000 3.651
1.977 1.977 0.000
0.000 1.977 8.861
1.977 0.000 1.317
1.977 1.977 5.089
0.000 0.000 5.089
```


Entry 10:
Below is a relaxed Ho2Ni3Ge4Ru crystal, with properties calculated at the PBE-GGA level.

DFT formation energy: -0.679 eV/atom
Total moment: 0.0000 μB/atom
Electronic total energy: -6.103 eV/atom

Geometry as POSCAR:
```
Ho2Ni3Ge4Ru
1.0
4.064 0.000 0.000
0.000 4.064 0.000
0.000 0.000 9.911
Ho Ni Ge Ru
2 3 4 1
Cartesian
0.000 2.032 2.404
2.032 0.000 7.507
0.000 2.032 8.651
2.032 0.000 1.260
2.032 2.032 4.955
0.000 0.000 0.000
0.000 2.032 6.314
2.032 0.000 3.597
2.032 2.032 0.000
0.000 0.000 4.955
```


What did the ninth record say?
Below is a relaxed Ho2Ni4Ge3Ru crystal, with properties calculated at the PBE-GGA level.

DFT formation energy: -0.553 eV/atom
Total moment: 0.0917 μB/atom
Electronic total energy: -6.094 eV/atom

Geometry as POSCAR:
```
Ho2Ni4Ge3Ru
1.0
3.955 0.000 0.000
0.000 3.955 0.000
0.000 0.000 10.177
Ho Ni Ge Ru
2 4 3 1
Cartesian
0.000 1.977 2.525
1.977 0.000 7.653
0.000 0.000 0.000
0.000 1.977 6.526
1.977 0.000 3.651
1.977 1.977 0.000
0.000 1.977 8.861
1.977 0.000 1.317
1.977 1.977 5.089
0.000 0.000 5.089
```


Repeat the sixth record exactly.
Below is a relaxed HoNiGe2Rh2 crystal, with properties calculated at the PBE-GGA level.

DFT formation energy: -0.324 eV/atom
Total moment: 0.0000 μB/atom
Electronic total energy: -6.040 eV/atom

Geometry as POSCAR:
```
HoNiGe2Rh2
1.0
4.412 0.000 0.000
0.000 4.412 0.000
0.000 0.000 5.458
Ho Ni Ge Rh
1 1 2 2
Cartesian
0.000 0.000 0.000
0.000 0.000 2.729
0.000 2.206 2.729
2.206 0.000 2.729
2.206 2.206 1.314
2.206 2.206 4.144
```